(1)
{
  "formula": "LaYCo4",
  "functional": "PBE",
  "state": "optimized geometry",
  "e_above_lowest_polymorph_ev_per_atom": 0.000,
  "lattice": [[-0.413, 4.145, 0.347], [-2.319, -0.489, 3.085], [5.383, 0.195, 4.077]],
  "species": ["Co", "Co", "Co", "Co", "Y", "La"],
  "fractional_positions": [[0.499, 0.997, 0.834], [0.499, 0.997, 0.162], [0.499, 0.497, 0.668], [0.499, 0.497, 0.328], [0.999, 0.497, 0.998], [0.999, 0.997, 0.498]]
}

(2)
{
  "formula": "La3YCo2",
  "functional": "PBE",
  "state": "optimized geometry",
  "lattice": [[3.973, 0.000, 0.825], [1.774, 8.374, 1.437], [-0.091, 0.102, 10.414]],
  "species": ["Co", "Co", "La", "La", "La", "Co", "La", "Co", "La", "Y", "La", "Y"],
  "fractional_positions": [[0.126, 0.624, 0.124], [0.375, 0.876, 0.374], [0.307, 0.324, 0.063], [0.059, 0.074, 0.808], [0.693, 0.676, 0.937], [0.874, 0.376, 0.876], [0.941, 0.926, 0.192], [0.625, 0.124, 0.626], [0.818, 0.810, 0.554], [0.561, 0.571, 0.307], [0.182, 0.190, 0.446], [0.439, 0.429, 0.693]]
}

(3)
{
  "formula": "La3YCo",
  "functional": "PBE",
  "state": "optimized geometry",
  "e_above_lowest_polymorph_ev_per_atom": 0.079,
  "lattice": [[5.478, 0.000, 0.000], [0.000, 5.478, 0.000], [0.000, 0.000, 5.478]],
  "species": ["Y", "Co", "La", "La", "La"],
  "fractional_positions": [[0.500, 0.500, 0.500], [0.000, 0.000, 0.000], [0.000, 0.000, 0.500], [0.000, 0.500, 0.000], [0.500, 0.000, 0.000]]
}

Let's list final energy in order: -40.75; -72.10; -28.20 eV per cell.